A relaxed Sr2LiEr crystal, computed with PBE.

Summary:
**Space group**: P4/mmm (123)
**Density of states at the Fermi level**: 2.94 states/eV per cell
**Formation energy from the elements**: 0.173 eV/atom
**Relative energy among the computed polymorphs**: 0.0 kJ/mol of atoms

a = 4.2534 Å, b = 4.2534 Å, c = 8.5525 Å
α = 90.00°, β = 90.00°, γ = 90.00°
Last column: nearest neighbours and their distance in Å.
Fractional positions:
Sr  0.0000  0.0000  0.2401  4 Li 3.64, 4 Er 3.74
Sr  0.0000  0.0000  0.7599  4 Li 3.64, 4 Er 3.74
Li  0.5000  0.5000  0.0000  8 Sr 3.64
Er  0.5000  0.5000  0.5000  8 Sr 3.74

***

A relaxed Sr3LiEr2Te6 crystal, computed with PBE.

Summary:
**Space group**: C2/m (12)
**ΔE_f (raw)**: -1.48 eV/atom
**Density of states at the Fermi level**: 3.76 states/eV per cell

a = 7.8098 Å, b = 7.8098 Å, c = 7.8815 Å
α = 99.51°, β = 99.51°, γ = 119.98°
Last column: nearest neighbours and their distance in Å.
Fractional positions:
Sr  0.0000  0.0000  0.0000  6 Te 3.31
Sr  0.3340  0.6660  0.0000  6 Te 3.31
Sr  0.6660  0.3340  0.0000  6 Te 3.31
Li  0.5000  0.5000  0.5000  6 Te 3.10
Er  0.1667  0.8333  0.5000  6 Te 3.09-3.10
Er  0.8333  0.1667  0.5000  6 Te 3.09-3.10
Te  0.0910  0.4248  0.2746  2 Er 3.09-3.10, 1 Li 3.10, 3 Sr 3.31
Te  0.2411  0.2411  0.7247  2 Er 3.09, 1 Li 3.10, 3 Sr 3.31
Te  0.4248  0.0910  0.2746  2 Er 3.09-3.10, 1 Li 3.10, 3 Sr 3.31
Te  0.5752  0.9090  0.7254  2 Er 3.09-3.10, 1 Li 3.10, 3 Sr 3.31
Te  0.7589  0.7589  0.2753  2 Er 3.09, 1 Li 3.10, 3 Sr 3.31
Te  0.9090  0.5752  0.7254  2 Er 3.09-3.10, 1 Li 3.10, 3 Sr 3.31

***

A relaxed SrLiErTe3 crystal, computed with PBE.

Summary:
**Space group**: P2_1/m (11)
**ΔE_f (raw)**: -1.41 eV/atom

a = 9.1328 Å, b = 4.4301 Å, c = 9.7696 Å
α = 90.00°, β = 104.09°, γ = 90.00°
Last column: nearest neighbours and their distance in Å.
Fractional positions:
Sr  0.1902  0.2500  0.2428  7 Te 3.39-3.51, 1 Li 3.73
Sr  0.8098  0.7500  0.7572  7 Te 3.39-3.51, 1 Li 3.73
Li  0.0847  0.2500  0.5882  4 Te 2.74-2.80, 2 Li 3.00
Li  0.9153  0.7500  0.4118  4 Te 2.74-2.80, 2 Li 3.00
Er  0.3283  0.7500  0.8378  6 Te 3.05-3.10
Er  0.6717  0.2500  0.1622  6 Te 3.05-3.10
Te  0.1053  0.2500  0.8726  1 Li 2.74
Te  0.2288  0.7500  0.5162  3 Li 2.75-2.80, 1 Er 3.05
Te  0.4389  0.7500  0.1645  3 Er 3.07-3.10, 2 Sr 3.39
Te  0.5611  0.2500  0.8355  3 Er 3.07-3.10, 2 Sr 3.39
Te  0.7712  0.2500  0.4838  3 Li 2.75-2.80, 1 Er 3.05
Te  0.8947  0.7500  0.1274  1 Li 2.74

***

A relaxed Sr2LiErTe4 crystal, computed with PBE.

Summary:
**Space group**: P2/m (10)
**ΔE_f (raw)**: -1.46 eV/atom

a = 7.8357 Å, b = 4.5459 Å, c = 7.8432 Å
α = 90.00°, β = 108.83°, γ = 90.00°
Last column: nearest neighbours and their distance in Å.
Fractional positions:
Sr  0.0000  0.0000  0.0000  6 Te 3.31
Sr  0.0000  0.5000  0.5000  6 Te 3.32-3.34
Li  0.5000  0.0000  0.5000  6 Te 3.08-3.13
Er  0.5000  0.5000  0.0000  6 Te 3.06-3.11
Te  0.2742  0.5000  0.2538  1 Er 3.06, 2 Li 3.13, 3 Sr 3.31-3.32
Te  0.2764  0.0000  0.7583  1 Li 3.08, 2 Er 3.11, 3 Sr 3.31-3.34
Te  0.7236  0.0000  0.2417  1 Li 3.08, 2 Er 3.11, 3 Sr 3.31-3.34
Te  0.7258  0.5000  0.7462  1 Er 3.06, 2 Li 3.13, 3 Sr 3.31-3.32

***

A relaxed SrLi2ErTl4 crystal, computed with PBE.

Summary:
**Space group**: R-3m (166)
**Density of states at the Fermi level**: 3.07 states/eV per cell
**Formation energy from the elements**: -0.293 eV/atom

a = 9.2235 Å, b = 9.2235 Å, c = 9.2235 Å
α = 33.21°, β = 33.21°, γ = 33.21°
Last column: nearest neighbours and their distance in Å.
Fractional positions:
Sr  0.0000  0.0000  0.0000  8 Tl 3.28-3.35
Li  0.2477  0.2477  0.2477  8 Tl 3.12-3.45
Li  0.7523  0.7523  0.7523  8 Tl 3.12-3.45
Er  0.5000  0.5000  0.5000  8 Tl 3.14-3.20
Tl  0.1284  0.1284  0.1284  4 Li 3.12-3.24, 3 Er 3.20, 1 Sr 3.35
Tl  0.3799  0.3799  0.3799  1 Er 3.14, 4 Li 3.21-3.45, 3 Sr 3.28
Tl  0.6201  0.6201  0.6201  1 Er 3.14, 4 Li 3.21-3.45, 3 Sr 3.28
Tl  0.8716  0.8716  0.8716  4 Li 3.12-3.24, 3 Er 3.20, 1 Sr 3.35

***

A relaxed SrLi2Er2Tl2 crystal, computed with PBE.

Summary:
**Space group**: R-3m (166)
**Density of states at the Fermi level**: 6.40 states/eV per cell
**Formation energy from the elements**: -0.182 eV/atom

a = 9.8370 Å, b = 9.8370 Å, c = 9.8370 Å
α = 29.11°, β = 29.11°, γ = 29.11°
Last column: nearest neighbours and their distance in Å.
Fractional positions:
Sr  0.0000  0.0000  0.0000  6 Li 3.63, 2 Er 3.70, 6 Tl 3.72
Li  0.4129  0.4129  0.4129  3 Tl 2.86
Li  0.5871  0.5871  0.5871  3 Tl 2.86
Er  0.1312  0.1312  0.1312  4 Tl 3.14-3.32, 3 Li 3.20, 3 Er 3.49
Er  0.8688  0.8688  0.8688  4 Tl 3.14-3.32, 3 Li 3.20, 3 Er 3.49
Tl  0.2488  0.2488  0.2488  3 Li 2.86, 3 Er 3.14
Tl  0.7512  0.7512  0.7512  3 Li 2.86, 3 Er 3.14

***

| no. | M_tot (μB/f.u.) | total DFT energy (no corrections) (eV per atom) |
| --- | --- | --- |
| 1 | 0.0 | -2.287 |
| 2 | 0.0 | -4.389 |
| 3 | 0.0 | -4.338 |
| 4 | 0.0 | -4.266 |
| 5 | 0.0 | -2.735 |
| 6 | 0.0 | -2.949 |